No. 1
A geometry-optimized PrEuCu4 structure, computed with GGA-PBE.

```
PrEuCu4
1.0
-4.6150 2.4654 -1.3023
-3.1393 -2.0322 -3.8842
-4.7220 -2.2751 1.2644
Pr Cu Eu
1 4 1
Direct
0.2500 0.2500 0.2500
0.6257 0.1230 0.6257
0.6257 0.6257 0.1230
0.6257 0.6257 0.6257
0.1230 0.6257 0.6257
0.0000 0.0000 0.0000
```

Output
Density: 8.20 g/cm3
Volume: 18.474 A^3/atom
Energy: -31.80 eV/cell

No. 2
A geometry-optimized Cu2SnPd2 structure, computed with GGA-PBE.

```
Cu2SnPd2
1.0
-0.9780 -3.0672 -1.2415
3.0623 -0.3486 -1.5511
3.5395 -4.7792 4.2243
Sn Cu Pd
1 2 2
Direct
0.0000 0.0000 0.0000
0.7500 0.2500 0.5000
0.2500 0.7500 0.5000
0.3961 0.3961 0.2079
0.6039 0.6039 0.7921
```

Output
Density: 9.31 g/cm3
Volume: 16.369 A^3/atom
Energy: -23.02 eV/cell
Polymorph energy (0 for the lowest one): 170.5 meV per atom